Run i
## AlCuNiPb (PBE)

Data for a relaxed structure of AlCuNiPb.

Cell: 4.5491 4.5491 4.5491 Å, 60.00 60.00 60.00°
Fractional positions:
Al  0.0000  0.0000  0.0000
Cu  0.7500  0.7500  0.7500
Ni  0.5000  0.5000  0.5000
Pb  0.2500  0.2500  0.2500

Calculated values
**Volume**: 66.6 Å³ per cell
**SG**: F-43m (216)

Run ii
## AlCuNiPb (PBE)

Data for a relaxed structure of AlCuNiPb.

Cell: 4.5048 4.5048 4.5048 Å, 60.00 60.00 60.00°
Fractional positions:
Al  0.5000  0.5000  0.5000
Cu  0.7500  0.7500  0.7500
Ni  0.2500  0.2500  0.2500
Pb  0.0000  0.0000  0.0000

Calculated values
**Volume**: 64.6 Å³ per cell
**SG**: F-43m (216)

Relative stability in meV per atom, measured from the most stable structure: run i 169; run ii 0